Computed, not measured: crystalline Tb5Nd2Tl at its relaxed geometry at the PBE level of DFT.

a = 3.571 Å, b = 6.786 Å, c = 21.256 Å
α = 90.00°, β = 90.00°, γ = 90.00°
Space group Immm (No. 71)
Inequivalent atoms, fractional coordinates:
Tb 0.000 0.000 0.000 [2 per cell]
Tb 0.000 0.248 0.387 [8 per cell]
Nd 0.000 0.000 0.239 [4 per cell]
Tl 0.000 0.500 0.000 [2 per cell]

Output
- Calculated total energy: -4.37 eV per atom
- Total magnetization: 0.00 μB/f.u.
- Polymorph energy (0 for the lowest one): 50 meV/atom

***

Computed, not measured: crystalline Tb8Nd6Tl at its relaxed geometry at the PBE level of DFT.

a = 9.4881 Å, b = 9.4881 Å, c = 6.4520 Å
α = 90.00°, β = 90.00°, γ = 120.00°
Space group P-3 (No. 147)
Inequivalent atoms, fractional coordinates:
Tb 0.0395 0.7761 0.1862 [6 per cell]
Tb 0.3333 0.6667 0.1625 [2 per cell]
Nd 0.0911 0.6402 0.6812 [6 per cell]
Tl 0.0000 0.0000 0.5000 [1 per cell]

Output
- Calculated total energy: -4.46 eV per atom
- Total magnetization: 0.00 μB/f.u.

***

Number 1: formation energy 8 meV per atom. Number 2: formation energy 74 meV per atom.